No. 1
Zr3AlOs: optimized geometry, PBE.

SG = Pm-3m
energy relative to the lowest polymorph listed for this composition = 0.0 kJ/mol of atoms

Cell lengths 5.0386, 5.0386, 5.0386 Å; angles 90.00, 90.00, 90.00 degrees
With the nearest neighbours (Å) after each atom.
Fractional coordinates of all 5 atoms:
Zr (0.0000, 0.0000, 0.5000)  2 Os 2.52
Zr (0.5000, 0.0000, 0.0000)  2 Os 2.52
Zr (0.0000, 0.5000, 0.0000)  2 Os 2.52
Os (0.0000, 0.0000, 0.0000)  6 Zr 2.52
Al (0.5000, 0.5000, 0.5000)  12 Zr 3.56

***

No. 2
ZrAl2Os: optimized geometry, PBE.

SG = Fm-3m

Cell lengths 4.4956, 4.4956, 4.4956 Å; angles 60.00, 60.00, 60.00 degrees
With the nearest neighbours (Å) after each atom.
Fractional coordinates of all 4 atoms:
Os (0.5000, 0.5000, 0.5000)  8 Al 2.75
Al (0.2500, 0.2500, 0.2500)  4 Zr 2.75, 4 Os 2.75
Al (0.7500, 0.7500, 0.7500)  4 Os 2.75, 4 Zr 2.75
Zr (0.0000, 0.0000, 0.0000)  8 Al 2.75

***

no.,formation energy (meV per atom),total moment (μB/f.u.)
1,374,0.00
2,-314,0.00